Li12CeCd6: optimized geometry, GGA-PBE.

Properties
Raw total energy   -1.862 eV/atom
Formation energy   -0.05 eV/atom
Total magnetization   1.5 μB per formula unit

a = 7.5761 Å, b = 7.5761 Å, c = 7.5761 Å
α = 101.47°, β = 101.47°, γ = 101.47°
With the nearest neighbours (Å) after each atom.
Positions (direct):
Li 0.4307 0.4307 0.1575  4 Cd 2.95-3.16, 5 Li 3.05-3.21
Cd 0.2687 0.7562 0.7562  4 Li 2.59-2.75
Li 0.5693 0.5693 0.8425  4 Cd 2.95-3.16, 5 Li 3.05-3.21
Li 0.4307 0.1575 0.4307  4 Cd 2.95-3.16, 5 Li 3.05-3.21
Cd 0.7313 0.2438 0.2438  4 Li 2.59-2.75
Cd 0.7562 0.2687 0.7562  4 Li 2.59-2.75
Cd 0.2438 0.2438 0.7313  4 Li 2.59-2.75
Li 0.1575 0.4307 0.4307  4 Cd 2.95-3.16, 5 Li 3.05-3.21
Cd 0.7562 0.7562 0.2687  4 Li 2.59-2.75
Li 0.8928 0.5000 0.1072  1 Li 2.51, 4 Cd 2.59-2.75
Li 0.1072 0.8928 0.5000  1 Li 2.51, 4 Cd 2.59-2.75
Li 0.8928 0.1072 0.5000  1 Li 2.51, 4 Cd 2.59-2.75
Li 0.5000 0.1072 0.8928  1 Li 2.51, 4 Cd 2.59-2.75
Li 0.8425 0.5693 0.5693  4 Cd 2.95-3.16, 5 Li 3.05-3.21
Ce 0.0000 0.0000 0.0000  6 Cd 3.55, 6 Li 3.92
Li 0.1072 0.5000 0.8928  1 Li 2.51, 4 Cd 2.59-2.75
Li 0.5000 0.8928 0.1072  1 Li 2.51, 4 Cd 2.59-2.75
Cd 0.2438 0.7313 0.2438  4 Li 2.59-2.75
Li 0.5693 0.8425 0.5693  4 Cd 2.95-3.16, 5 Li 3.05-3.21

***

LiCeCd2: optimized geometry, GGA-PBE.

Properties
Raw total energy   -2.535 eV/atom
Formation energy   -0.12 eV/atom
Total magnetization   0.0 μB per formula unit

a = 3.0867 Å, b = 3.0867 Å, c = 10.8530 Å
α = 81.82°, β = 81.82°, γ = 60.00°
With the nearest neighbours (Å) after each atom.
Positions (direct):
Ce 0.4999 0.4999 0.5003  6 Ce 3.09, 6 Cd 3.43
Cd 0.2578 0.2578 0.2265  3 Li 3.02, 6 Cd 3.09
Li 0.6669 0.6669 0.9992  6 Cd 3.00-3.02, 6 Li 3.09
Cd 0.0754 0.0754 0.7739  3 Li 3.00, 6 Cd 3.09

***

Li2CeCd: optimized geometry, GGA-PBE.

Properties
Relative energy among the computed polymorphs   3.06 kJ/mol of atoms
Raw total energy   -2.636 eV/atom
Formation energy   0.03 eV/atom
Total magnetization   1.2 μB per formula unit

a = 4.9928 Å, b = 4.9928 Å, c = 4.9928 Å
α = 60.00°, β = 60.00°, γ = 60.00°
With the nearest neighbours (Å) after each atom.
Positions (direct):
Li 0.7500 0.7500 0.7500  4 Cd 3.06, 4 Ce 3.06
Ce 0.0000 0.0000 0.0000  8 Li 3.06
Li 0.2500 0.2500 0.2500  4 Cd 3.06, 4 Ce 3.06
Cd 0.5000 0.5000 0.5000  8 Li 3.06

***

Li6CeCd6: optimized geometry, GGA-PBE.

Properties
Raw total energy   -1.938 eV/atom
Formation energy   -0.18 eV/atom
Total magnetization   1.1 μB per formula unit

a = 5.2999 Å, b = 7.5071 Å, c = 7.5071 Å
α = 82.84°, β = 69.33°, γ = 69.33°
With the nearest neighbours (Å) after each atom.
Positions (direct):
Cd 0.0000 0.6555 0.3445  6 Li 2.89-2.97, 1 Cd 3.09
Cd 0.6514 0.3486 0.3486  6 Li 2.98-3.10, 3 Cd 3.01-3.05
Li 0.0000 0.5000 0.0000  4 Li 2.65-2.82, 4 Cd 2.87-2.97
Li 0.5000 0.0000 0.5000  4 Li 2.65-2.82, 4 Cd 2.87-2.97
Li 0.0000 0.0000 0.5000  4 Li 2.65-2.82, 4 Cd 2.87-2.97
Li 0.5000 0.7727 0.2273  4 Li 2.82, 6 Cd 2.89-3.10
Ce 0.0000 0.0000 0.0000  8 Cd 3.29-3.46, 4 Li 3.48
Cd 0.3486 0.6514 0.6514  6 Li 2.98-3.10, 3 Cd 3.01-3.05
Cd 0.3038 0.1962 0.1962  6 Li 2.87-2.98, 2 Cd 3.05
Cd 0.0000 0.3445 0.6555  6 Li 2.89-2.97, 1 Cd 3.09
Cd 0.6962 0.8038 0.8038  6 Li 2.87-2.98, 2 Cd 3.05
Li 0.5000 0.5000 0.0000  4 Li 2.65-2.82, 4 Cd 2.87-2.97
Li 0.5000 0.2273 0.7727  4 Li 2.82, 6 Cd 2.89-3.10

***

Li2CeCd2: optimized geometry, GGA-PBE.

Properties
Raw total energy   -2.420 eV/atom
Formation energy   -0.10 eV/atom
Total magnetization   1.4 μB per formula unit

a = 4.1031 Å, b = 4.1031 Å, c = 7.6202 Å
α = 105.62°, β = 105.62°, γ = 90.00°
With the nearest neighbours (Å) after each atom.
Positions (direct):
Cd 0.3890 0.3890 0.7780  4 Li 2.84, 1 Cd 3.13
Cd 0.6110 0.6110 0.2220  4 Li 2.84, 1 Cd 3.13
Ce 0.0000 0.0000 0.0000  8 Cd 3.30
Li 0.7500 0.2500 0.5000  4 Cd 2.84, 4 Li 2.90
Li 0.2500 0.7500 0.5000  4 Cd 2.84, 4 Li 2.90

***

Li2Ce3Cd9: optimized geometry, GGA-PBE.

Properties
Raw total energy   -2.324 eV/atom
Formation energy   -0.19 eV/atom
Total magnetization   3.8 μB per formula unit

a = 4.9281 Å, b = 8.8712 Å, c = 8.8712 Å
α = 67.24°, β = 73.87°, γ = 73.87°
With the nearest neighbours (Å) after each atom.
Positions (direct):
Cd 0.1397 0.5711 0.1495  4 Cd 2.84-3.04, 2 Li 3.17
Cd 0.8603 0.4289 0.8505  4 Cd 2.84-3.04, 2 Li 3.17
Cd 0.3529 0.0039 0.2904  1 Li 2.77, 4 Cd 2.81-3.04
Ce 0.0000 0.0000 0.0000  12 Cd 3.44-3.50
Cd 0.0000 0.5000 0.5000  4 Cd 2.84, 4 Li 2.96
Ce 0.2828 0.7172 0.7172  12 Cd 3.39-3.64, 2 Li 3.44
Cd 0.8603 0.8505 0.4289  4 Cd 2.84-3.04, 2 Li 3.17
Ce 0.7172 0.2828 0.2828  12 Cd 3.39-3.64, 2 Li 3.44
Li 0.5000 0.6664 0.3336  4 Cd 2.77-2.96
Cd 0.1397 0.1495 0.5711  4 Cd 2.84-3.04, 2 Li 3.17
Cd 0.3529 0.2904 0.0039  1 Li 2.77, 4 Cd 2.81-3.04
Cd 0.6471 0.7096 0.9961  1 Li 2.77, 4 Cd 2.81-3.04
Cd 0.6471 0.9961 0.7096  1 Li 2.77, 4 Cd 2.81-3.04
Li 0.5000 0.3336 0.6664  4 Cd 2.77-2.96